# 1
SrY2Sb: PBEsol geometry, meta-GGA SCAN.

Values from the calculation:
Space group: Imm2
E_form (uncorrected) (meV per atom): -413
Calculated total energy (eV per atom): -29.218
Crystal system: orthorhombic

extended XYZ file:
```
4
Lattice="4.163 0.000 0.000 0.000 5.126 0.000 -2.081 -2.563 5.725" Properties=species:S:1:pos:R:3 pbc="T T T"
Sb 0.000 0.000 5.596
Sr 0.000 2.563 2.533
Y 0.000 0.000 0.047
Y 2.081 0.000 3.274
```


# 2
SiAsIr3: PBEsol geometry, meta-GGA SCAN.

Values from the calculation:
Space group: Pm-3m
E_form (uncorrected) (meV per atom): 1406
Calculated total energy (eV per atom): -47.295
Crystal system: cubic

extended XYZ file:
```
5
Lattice="-2.548 -2.591 -2.701 1.131 -3.647 2.432 -3.568 0.694 2.700" Properties=species:S:1:pos:R:3 pbc="T T T"
As 0.000 0.000 0.000
Ir 0.566 -1.824 1.216
Ir -1.784 0.347 1.350
Ir -1.274 -1.295 -1.350
Si -2.492 -2.772 1.215
```


# 3
Tl4O3: PBEsol geometry, meta-GGA SCAN.

Values from the calculation:
Space group: P2_1/m
E_form (uncorrected) (meV per atom): -693
Calculated total energy (eV per atom): -44.711
Crystal system: monoclinic

extended XYZ file:
```
14
Lattice="-2.303 2.585 -0.276 -3.533 -2.486 6.186 7.635 7.114 2.920" Properties=species:S:1:pos:R:3 pbc="T T T"
O 0.698 4.711 5.513
O 1.101 2.502 3.317
O -2.111 1.967 3.248
O 3.910 5.246 5.582
O 2.070 5.655 2.904
O -0.271 1.558 5.926
Tl 2.169 6.194 7.126
Tl -0.370 1.019 1.704
Tl 3.744 7.278 4.144
Tl -1.945 -0.065 4.686
Tl 0.827 4.374 1.277
Tl 0.971 2.839 7.553
Tl -0.782 3.283 4.489
Tl 2.581 3.930 4.341
```


# 4
ScAl2Ru: PBEsol geometry, meta-GGA SCAN.

Values from the calculation:
Energy relative to the elements (eV per atom): -0.093
Space group: I-42d
Calculated total energy (eV per atom): -16.234
Crystal system: tetragonal

extended XYZ file:
```
8
Lattice="-1.984 -2.769 -1.666 0.869 -2.340 2.854 -7.276 5.352 4.084" Properties=species:S:1:pos:R:3 pbc="T T T"
Sc -4.909 0.014 1.506
Sc -0.557 -2.554 0.594
Ru -3.482 0.229 3.766
Ru 0.000 0.000 0.000
Al -1.773 -1.707 2.918
Al -3.258 -2.003 0.609
Al -5.609 3.410 3.169
Al -6.141 0.786 3.848
```


# 5
CuNiPb: PBEsol geometry, meta-GGA SCAN.

Values from the calculation:
Energy relative to the elements (eV per atom): 0.401
Space group: P3m1
Calculated total energy (eV per atom): -35.317
Crystal system: trigonal
ΔE to the lowest computed polymorph (eV per atom): 0.076

extended XYZ file:
```
3
Lattice="3.308 0.000 0.000 0.000 4.102 0.000 0.000 -2.051 3.552" Properties=species:S:1:pos:R:3 pbc="T T T"
Cu 2.875 0.000 0.000
Ni 2.637 0.000 2.368
Pb 1.103 2.051 1.184
```


# 6
ZnSb5: PBEsol geometry, meta-GGA SCAN.

Values from the calculation:
Space group: F-43m
E_form (uncorrected) (meV per atom): 524
Calculated total energy (eV per atom): -32.779
Crystal system: cubic

extended XYZ file:
```
6
Lattice="-0.559 -6.096 -0.296 1.534 -3.456 4.824 -4.356 -2.839 3.245" Properties=species:S:1:pos:R:3 pbc="T T T"
Sb -0.845 -3.098 1.943
Sb -2.884 -6.016 2.442
Sb 0.070 -6.325 3.234
Sb -2.115 -7.749 4.861
Sb -1.835 -4.692 5.010
Zn 0.000 0.000 0.000
```


# 7
CaMg30AlO32: PBEsol geometry, meta-GGA SCAN.

Values from the calculation:
Space group: P4/mmm
E_form (uncorrected) (meV per atom): -2957
Calculated total energy (eV per atom): -8.676
Crystal system: tetragonal

extended XYZ file:
```
64
Lattice="8.505 0.000 0.000 0.000 8.505 0.000 0.000 0.000 8.508" Properties=species:S:1:pos:R:3 pbc="T T T"
Ca 4.252 4.252 0.000
Mg 0.000 4.252 0.000
Mg 4.252 0.000 0.000
Mg 0.000 0.000 4.254
Mg 0.000 4.252 4.254
Mg 4.252 0.000 4.254
Mg 4.252 4.252 4.254
Mg 2.107 2.107 0.000
Mg 2.107 6.397 0.000
Mg 6.397 2.107 0.000
Mg 6.397 6.397 0.000
Mg 2.127 2.127 4.254
Mg 2.127 6.378 4.254
Mg 6.378 2.127 4.254
Mg 6.378 6.378 4.254
Mg 0.000 2.129 2.137
Mg 0.000 6.376 2.137
Mg 4.252 2.105 2.156
Mg 4.252 6.399 2.156
Mg 0.000 2.129 6.371
Mg 0.000 6.376 6.371
Mg 4.252 2.105 6.352
Mg 4.252 6.399 6.352
Mg 2.129 0.000 2.137
Mg 2.105 4.252 2.156
Mg 6.376 0.000 2.137
Mg 6.399 4.252 2.156
Mg 2.129 0.000 6.371
Mg 2.105 4.252 6.352
Mg 6.376 0.000 6.371
Mg 6.399 4.252 6.352
Al 0.000 0.000 0.000
O 0.000 0.000 1.998
O 0.000 4.252 2.124
O 4.252 0.000 2.124
O 4.252 4.252 2.227
O 0.000 0.000 6.510
O 0.000 4.252 6.384
O 4.252 0.000 6.384
O 4.252 4.252 6.281
O 2.123 2.123 2.122
O 2.123 6.382 2.122
O 6.382 2.123 2.122
O 6.382 6.382 2.122
O 2.123 2.123 6.386
O 2.123 6.382 6.386
O 6.382 2.123 6.386
O 6.382 6.382 6.386
O 0.000 1.978 0.000
O 0.000 6.527 0.000
O 4.252 2.009 0.000
O 4.252 6.495 0.000
O 0.000 2.101 4.254
O 0.000 6.403 4.254
O 4.252 2.103 4.254
O 4.252 6.402 4.254
O 1.978 0.000 0.000
O 2.009 4.252 0.000
O 6.527 0.000 0.000
O 6.495 4.252 0.000
O 2.101 0.000 4.254
O 2.103 4.252 4.254
O 6.403 0.000 4.254
O 6.402 4.252 4.254
```


# 8
LiAg2RuRh: PBEsol geometry, meta-GGA SCAN.

Values from the calculation:
Energy relative to the elements (eV per atom): 1.351
Space group: P4/mmm
Calculated total energy (eV per atom): -25.393
Crystal system: tetragonal

extended XYZ file:
```
5
Lattice="-2.588 -3.183 0.420 0.568 -1.083 -4.712 3.747 -2.900 1.119" Properties=species:S:1:pos:R:3 pbc="T T T"
Ru 0.864 -3.583 -1.587
Rh 0.000 0.000 0.000
Ag 1.874 -1.450 0.559
Ag 0.284 -0.542 -2.356
Li -1.294 -1.591 0.210
```


# 9
BaCrAs: PBEsol geometry, meta-GGA SCAN.

Values from the calculation:
Energy relative to the elements (eV per atom): -0.716
Space group: P-6m2
Calculated total energy (eV per atom): -26.757
Crystal system: hexagonal

extended XYZ file:
```
3
Lattice="-3.945 0.098 -1.947 0.635 -2.506 3.561 -1.295 3.663 2.808" Properties=species:S:1:pos:R:3 pbc="T T T"
As -0.216 0.610 0.468
Ba -1.755 0.805 3.597
Cr -2.634 -0.160 0.357
```


# 10
Mn3SbO8: PBEsol geometry, meta-GGA SCAN.

Values from the calculation:
Space group: P6_3mc
E_form (uncorrected) (meV per atom): -1888
Calculated total energy (eV per atom): -13.711
Crystal system: hexagonal

extended XYZ file:
```
24
Lattice="-1.043 5.395 -1.328 -3.721 -2.919 3.097 4.294 2.735 7.738" Properties=species:S:1:pos:R:3 pbc="T T T"
Mn -2.043 -0.739 4.566
Mn -2.560 1.935 3.908
Mn -0.199 0.708 3.031
Mn 0.038 4.700 7.033
Mn 2.399 3.473 6.156
Mn 1.882 6.146 5.498
Sb -2.785 -0.120 1.699
Sb 0.255 4.018 4.094
O 0.568 0.869 9.345
O -3.395 0.240 3.644
O -1.148 0.922 4.649
O 0.800 0.510 1.442
O 2.948 1.877 5.311
O 0.025 3.676 8.655
O -1.237 -0.881 2.843
O -1.710 1.563 2.241
O -1.694 3.638 4.078
O 2.504 2.388 7.734
O 0.522 3.191 5.972
O 0.049 5.635 5.370
O 1.892 5.061 7.043
O 0.785 2.350 3.158
O 2.207 4.513 4.569
O 0.242 5.156 2.467
```


# 11
CaAuSe2: PBEsol geometry, meta-GGA SCAN.

Values from the calculation:
Space group: P4/mmm
E_form (uncorrected) (meV per atom): -1019
Calculated total energy (eV per atom): -30.763
Crystal system: tetragonal
ΔE to the lowest computed polymorph (eV per atom): 0.020

extended XYZ file:
```
4
Lattice="-2.144 -1.814 -2.824 3.310 -0.585 -2.137 0.787 -4.928 2.568" Properties=species:S:1:pos:R:3 pbc="T T T"
Ca 0.976 -3.664 -1.197
Au 0.000 0.000 0.000
Se 0.393 -2.464 1.284
Se 0.583 -1.200 -2.481
```


# 12
K2TlHg: PBEsol geometry, meta-GGA SCAN.

Values from the calculation:
Energy relative to the elements (eV per atom): -0.226
Space group: Cm
Calculated total energy (eV per atom): -39.522
Crystal system: monoclinic
ΔE to the lowest computed polymorph (eV per atom): 0.007

extended XYZ file:
```
4
Lattice="4.494 0.000 0.000 0.000 5.890 -0.045 -2.247 -2.892 5.362" Properties=species:S:1:pos:R:3 pbc="T T T"
K 2.247 2.993 5.041
K 2.247 0.029 2.880
Tl 2.247 2.950 0.400
Hg 0.000 2.968 2.289
```


# 13
Al4Pb: PBEsol geometry, meta-GGA SCAN.

Values from the calculation:
Energy relative to the elements (eV per atom): 0.817
Space group: Im-3m
Calculated total energy (eV per atom): -20.541
Crystal system: cubic

extended XYZ file:
```
5
Lattice="5.545 0.000 0.000 -1.848 5.228 0.000 -1.848 -2.614 4.528" Properties=species:S:1:pos:R:3 pbc="T T T"
Pb 0.000 0.000 0.000
Al -0.924 -1.307 2.264
Al -0.924 2.614 0.000
Al 2.773 0.000 0.000
Al 0.924 1.307 2.264
```


# 14
Fe2AgMo: PBEsol geometry, meta-GGA SCAN.

Values from the calculation:
Energy relative to the elements (eV per atom): 0.491
Space group: I-4m2
Calculated total energy (eV per atom): -25.137
Crystal system: tetragonal
ΔE to the lowest computed polymorph (eV per atom): 0.231

extended XYZ file:
```
4
Lattice="3.675 0.000 0.000 0.000 3.675 0.000 -1.837 -1.837 3.867" Properties=species:S:1:pos:R:3 pbc="T T T"
Ag 0.000 1.837 1.934
Fe 0.000 0.000 0.000
Fe 1.837 0.000 1.934
Mo 1.837 1.837 0.000
```


# 15
PSe: PBEsol geometry, meta-GGA SCAN.

Values from the calculation:
Space group: C2/m
E_form (uncorrected) (meV per atom): 102
Calculated total energy (eV per atom): -15.136
Crystal system: monoclinic
ΔE to the lowest computed polymorph (eV per atom): 0.188

extended XYZ file:
```
4
Lattice="3.460 0.000 0.000 1.730 5.255 0.049 1.730 1.766 4.891" Properties=species:S:1:pos:R:3 pbc="T T T"
P 3.460 2.621 0.776
P 3.460 4.399 4.164
Se 1.730 1.363 3.699
Se 5.190 5.657 1.240
```


# 16
Ta2FeSe: PBEsol geometry, meta-GGA SCAN.

Values from the calculation:
Space group: Cm
E_form (uncorrected) (meV per atom): 71
Calculated total energy (eV per atom): -42.773
Crystal system: monoclinic

extended XYZ file:
```
4
Lattice="3.030 0.000 0.000 0.000 4.622 -0.036 -1.515 -1.393 4.361" Properties=species:S:1:pos:R:3 pbc="T T T"
Fe 1.515 2.066 0.010
Se 0.000 2.987 2.009
Ta 1.515 3.023 4.206
Ta 1.515 0.693 2.407
```


# 17
Li2CrCl: PBEsol geometry, meta-GGA SCAN.

Values from the calculation:
Space group: Cmmm
E_form (uncorrected) (meV per atom): -537
Calculated total energy (eV per atom): -8.323
Crystal system: orthorhombic

extended XYZ file:
```
4
Lattice="-0.853 2.048 -2.209 1.826 -2.315 -1.053 -6.520 -4.422 -1.584" Properties=species:S:1:pos:R:3 pbc="T T T"
Cl -2.773 -2.345 -2.423
Cr 0.487 -0.133 -1.631
Li -1.964 -1.332 -0.477
Li -4.556 -3.090 -1.107
```


# 18
AsPN3: PBEsol geometry, meta-GGA SCAN.

Values from the calculation:
Space group: Pm-3m
E_form (uncorrected) (meV per atom): 950
Calculated total energy (eV per atom): -10.743
Crystal system: cubic

extended XYZ file:
```
5
Lattice="-0.084 1.507 -3.179 -2.752 -2.010 -0.880 -2.193 2.465 1.226" Properties=species:S:1:pos:R:3 pbc="T T T"
P 0.000 0.000 0.000
As -2.514 0.981 -1.417
N -1.376 -1.005 -0.440
N -1.096 1.232 0.613
N -0.042 0.754 -1.590
```


# 19
SrCo: PBEsol geometry, meta-GGA SCAN.

Values from the calculation:
Energy relative to the elements (eV per atom): 0.826
Space group: Fm-3m
Calculated total energy (eV per atom): -18.964
Crystal system: cubic

extended XYZ file:
```
2
Lattice="-1.794 -2.429 2.995 -1.397 -3.896 -0.977 2.049 -3.425 1.469" Properties=species:S:1:pos:R:3 pbc="T T T"
Sr -0.571 -4.875 1.744
Co 0.000 0.000 0.000
```


# 20
KCaO2F: PBEsol geometry, meta-GGA SCAN.

Values from the calculation:
Space group: P4/mmm
E_form (uncorrected) (meV per atom): -1982
Calculated total energy (eV per atom): -8.781
Crystal system: tetragonal

extended XYZ file:
```
5
Lattice="4.444 0.000 0.000 0.000 4.477 0.000 0.000 0.000 4.477" Properties=species:S:1:pos:R:3 pbc="T T T"
Ca 0.000 0.000 0.000
K 2.222 2.238 2.238
O 0.000 0.000 2.238
O 0.000 2.238 0.000
F 2.222 0.000 0.000
```